## YScSi2 (PBE)

Data for a geometry-optimized YScSi2 structure.

```
data_YScSi2
_cell_length_a 3.7642
_cell_length_b 4.1440
_cell_length_c 10.2572
_cell_angle_alpha 90.00
_cell_angle_beta 90.00
_cell_angle_gamma 90.00
_symmetry_space_group_name_H-M 'P 1'
_symmetry_Int_Tables_number 1
loop_
_symmetry_equiv_pos_as_xyz
'x,y,z'
loop_
_atom_site_label
_atom_site_type_symbol
_atom_site_fract_x
_atom_site_fract_y
_atom_site_fract_z
_atom_site_occupancy
Y1 Y 0.0000 0.0000 0.0000 1
Y2 Y 0.0000 0.5000 0.5000 1
Sc1 Sc 0.5000 0.0000 0.2793 1
Sc2 Sc 0.5000 0.5000 0.7793 1
Si1 Si 0.0000 0.0000 0.7206 1
Si2 Si 0.0000 0.5000 0.2206 1
Si3 Si 0.5000 0.0000 0.5649 1
Si4 Si 0.5000 0.5000 0.0649 1
```

Properties
**Crystal system**: orthorhombic
**ΔE_f (raw)**: -813 meV/atom
**Symmetry**: No. 38
**Raw total energy**: -6.723 eV/atom
**Energy relative to the lowest polymorph listed for this composition**: 0.00 eV per formula unit



## Y2ScSi2 (PBE)

Data for a geometry-optimized Y2ScSi2 structure.

```
data_Y2ScSi2
_cell_length_a 7.2458
_cell_length_b 7.2458
_cell_length_c 4.2347
_cell_angle_alpha 90.00
_cell_angle_beta 90.00
_cell_angle_gamma 90.00
_symmetry_space_group_name_H-M 'P 1'
_symmetry_Int_Tables_number 1
loop_
_symmetry_equiv_pos_as_xyz
'x,y,z'
loop_
_atom_site_label
_atom_site_type_symbol
_atom_site_fract_x
_atom_site_fract_y
_atom_site_fract_z
_atom_site_occupancy
Y1 Y 0.1762 0.3238 0.0000 1
Y2 Y 0.3238 0.8238 0.0000 1
Y3 Y 0.6762 0.1762 0.0000 1
Y4 Y 0.8238 0.6762 0.0000 1
Sc1 Sc 0.0000 0.0000 0.5000 1
Sc2 Sc 0.5000 0.5000 0.5000 1
Si1 Si 0.1208 0.6208 0.5000 1
Si2 Si 0.3792 0.1208 0.5000 1
Si3 Si 0.6208 0.8792 0.5000 1
Si4 Si 0.8792 0.3792 0.5000 1
```

Properties
**Crystal system**: tetragonal
**ΔE_f (raw)**: -780 meV/atom
**Symmetry**: No. 127
**Raw total energy**: -6.801 eV/atom
**Energy relative to the lowest polymorph listed for this composition**: 0.00 eV per formula unit



## Y2ScSi (PBE)

Data for a geometry-optimized Y2ScSi structure.

```
data_Y2ScSi
_cell_length_a 3.5871
_cell_length_b 3.5871
_cell_length_c 28.9988
_cell_angle_alpha 90.00
_cell_angle_beta 90.00
_cell_angle_gamma 120.00
_symmetry_space_group_name_H-M 'P 1'
_symmetry_Int_Tables_number 1
loop_
_symmetry_equiv_pos_as_xyz
'x,y,z'
loop_
_atom_site_label
_atom_site_type_symbol
_atom_site_fract_x
_atom_site_fract_y
_atom_site_fract_z
_atom_site_occupancy
Y1 Y 0.0000 0.0000 0.2356 1
Y2 Y 0.0000 0.0000 0.7644 1
Y3 Y 0.3333 0.6667 0.4311 1
Y4 Y 0.3333 0.6667 0.9023 1
Y5 Y 0.6667 0.3333 0.0977 1
Y6 Y 0.6667 0.3333 0.5689 1
Sc1 Sc 0.0000 0.0000 0.0000 1
Sc2 Sc 0.3333 0.6667 0.6667 1
Sc3 Sc 0.6667 0.3333 0.3333 1
Si1 Si 0.0000 0.0000 0.5000 1
Si2 Si 0.3333 0.6667 0.1667 1
Si3 Si 0.6667 0.3333 0.8333 1
```

Properties
**Crystal system**: trigonal
**ΔE_f (raw)**: -109 meV/atom
**Symmetry**: No. 166
**Raw total energy**: -6.279 eV/atom